No. 1
DFT (GGA-PBE) results for a relaxed Pm3HoAg6 crystal.

Calculated values
Its space-group type is Fm-3m (225).

```
Pm3HoAg6
1.0
0.000 5.322 5.322
5.322 0.000 5.322
5.322 5.322 0.000
Pm Ho Ag
3 1 6
Cartesian
0.000 0.000 0.000
2.661 2.661 2.661
7.982 7.982 7.982
5.322 5.322 5.322
5.322 5.322 2.696
5.322 2.696 5.322
7.948 5.322 5.322
2.696 5.322 5.322
5.322 7.948 5.322
5.322 5.322 7.948
```


No. 2
DFT (GGA-PBE) results for a relaxed BaCePa4N8 crystal.

Calculated values
For the uncorrected formation energy, the calculation gives -1946 kJ/mol of formula units. Its space-group type is R3m (160).

```
BaCePa4N8
1.0
3.569 2.060 5.792
-3.569 2.060 5.792
0.000 -4.121 5.792
Ba Ce Pa N
1 1 4 8
Cartesian
0.000 0.000 0.000
0.000 0.000 10.817
-1.818 -1.049 7.890
0.000 0.000 4.216
1.818 -1.049 7.890
0.000 2.099 7.890
0.000 -2.000 9.174
-1.732 1.000 9.174
0.000 0.000 6.600
-1.426 -0.823 12.481
0.000 0.000 14.705
1.732 1.000 9.174
1.426 -0.823 12.481
0.000 1.647 12.481
```


No. 3
DFT (GGA-PBE) results for a relaxed VBSCl2 crystal.

Calculated values
For the uncorrected formation energy, the calculation gives 185 kJ/mol of formula units. Its space-group type is P4/mmm (123). As for the distance to the lowest polymorph of the same formula: 0.0 meV/atom.

```
VBSCl2
1.0
4.832 0.000 0.000
0.000 4.832 0.000
0.000 0.000 4.570
V B S Cl
1 1 1 2
Cartesian
0.000 0.000 0.000
2.416 2.416 2.285
0.000 0.000 2.285
0.000 2.416 0.000
2.416 0.000 0.000
```


V per entry: 30.14; 18.25; 21.34 A^3/atom
Uncorrected energy per entry: -30.98; -132.61; -21.70 eV per formula unit